A plane-wave DFT calculation with GGA-PBE was carried out for crystalline CuAsPt2 at its relaxed geometry.

Computed properties:
The formation enthalpy at 0 K is -0.113 eV per atom. As for the volume: 15.1 Å³ per atom.

Geometry as POSCAR:
```
CuAsPt2
1.0
-1.989 1.995 3.818
1.989 -1.995 3.818
1.989 1.995 -3.818
Cu As Pt
1 1 2
direct
0.000 0.000 0.000
0.500 0.500 0.000
0.250 0.750 0.500
0.750 0.250 0.500
```

***

A plane-wave DFT calculation with GGA-PBE was carried out for crystalline CaBeZn3 at its relaxed geometry.

Computed properties:
The distance to the lowest polymorph of the same formula is 1294 meV/atom. The formation enthalpy at 0 K is 1.268 eV per atom. As for the volume: 37.2 Å³ per atom.

Geometry as POSCAR:
```
CaBeZn3
1.0
5.710 0.000 0.000
0.000 5.710 0.000
0.000 0.000 5.710
Ca Be Zn
1 1 3
direct
0.000 0.000 0.000
0.500 0.500 0.500
0.000 0.000 0.500
0.000 0.500 0.000
0.500 0.000 0.000
```

***

A plane-wave DFT calculation with GGA-PBE was carried out for crystalline NaMgTi3 at its relaxed geometry.

Computed properties:
The distance to the lowest polymorph of the same formula is 114 meV/atom. The formation enthalpy at 0 K is 1.503 eV per atom. As for the volume: 22.0 Å³ per atom.

Geometry as POSCAR:
```
NaMgTi3
1.0
4.791 0.000 0.000
0.000 4.791 0.000
0.000 0.000 4.791
Na Mg Ti
1 1 3
direct
0.000 0.000 0.000
0.500 0.500 0.500
0.000 0.000 0.500
0.000 0.500 0.000
0.500 0.000 0.000
```

***

A plane-wave DFT calculation with GGA-PBE was carried out for crystalline MgTc2Mo at its relaxed geometry.

Computed properties:
The formation enthalpy at 0 K is 0.165 eV per atom. As for the volume: 15.5 Å³ per atom.

Geometry as POSCAR:
```
MgTc2Mo
1.0
-1.556 2.285 4.364
1.556 -2.285 4.364
1.556 2.285 -4.364
Mg Tc Mo
1 2 1
direct
0.000 0.000 0.000
0.265 0.765 0.500
0.735 0.235 0.500
0.500 0.500 0.000
```

***

no.,spin magnetization (μB per formula unit),E (eV/cell),calculated density (g/cm3)
1,0.00,-21.3,14.5
2,0.00,-3.2,2.2
3,0.00,-19.1,2.9
4,0.00,-32.5,8.5